Entry from Alexandria via LeMat-Bulk: a geometry-optimized La4CeIn2 structure (PBE).

Cell: 6.128 6.128 8.235 Å, 119.99 119.99 69.92°
Fractional coordinates of all 7 atoms:
1 In 0.623 0.623 0.245
2 In 0.377 0.377 0.755
3 Ce 0.000 0.000 0.000
4 La 0.750 0.250 0.500
5 La 0.250 0.750 0.500
6 La 0.500 0.000 0.000
7 La 0.000 0.500 0.000

Properties
space group	Fmmm (69)
DFT formation energy	-0.35	eV per formula unit
polymorph energy (0 for the lowest one)	124	meV/atom
E	-4.496	eV/atom